A plane-wave DFT calculation with meta-GGA SCAN was carried out for a PBEsol-optimized structure of Sr2Tl2Cd.

It has space group P4/mbm (No. 127), with a = 8.033 Å, b = 8.033 Å, c = 4.908 Å, α = 90.00°, β = 90.00° and γ = 90.00°. The inequivalent atoms are Sr at (0.170, 0.330, 0.000), Tl at (0.135, 0.635, 0.500) and Cd at (0.000, 0.000, 0.500).

The density is 7.30 g cm⁻³. The density of states at the Fermi level is 3.383 states/eV/f.u. The total DFT energy (no corrections) is -44.369 eV/atom.

A plane-wave DFT calculation with meta-GGA SCAN was carried out for a PBEsol-optimized structure of SrTlCd4.

It has space group F-43m (No. 216), with a = 8.454 Å, b = 8.454 Å, c = 8.454 Å, α = 90.00°, β = 90.00° and γ = 90.00°. The inequivalent atoms are Sr at (0.000, 0.000, 0.000), Tl at (0.250, 0.250, 0.250) and Cd at (0.125, 0.125, 0.625).

The density is 8.15 g cm⁻³. The density of states at the Fermi level is 2.570 states/eV/f.u. The total DFT energy (no corrections) is -36.253 eV/atom.

A plane-wave DFT calculation with meta-GGA SCAN was carried out for a PBEsol-optimized structure of Sr2TlCd.

It has space group Fm-3m (No. 225), with a = 7.977 Å, b = 7.977 Å, c = 7.977 Å, α = 90.00°, β = 90.00° and γ = 90.00°. The inequivalent atoms are Sr at (0.250, 0.250, 0.250), Tl at (0.000, 0.000, 0.000) and Cd at (0.000, 0.000, 0.500).

The density is 6.44 g cm⁻³. The density of states at the Fermi level is 2.450 states/eV/f.u. The total DFT energy (no corrections) is -37.358 eV/atom.

A plane-wave DFT calculation with meta-GGA SCAN was carried out for a PBEsol-optimized structure of Sr2ZrTlCd.

It has space group P4/mmm (No. 123), with a = 5.991 Å, b = 5.991 Å, c = 5.349 Å, α = 90.00°, β = 90.00° and γ = 90.00°. The inequivalent atoms are Sr at (0.000, 0.500, 0.000), Zr at (0.000, 0.000, 0.000), Tl at (0.500, 0.500, 0.500) and Cd at (0.000, 0.000, 0.500).

The density is 5.04 g cm⁻³. The density of states at the Fermi level is 4.148 states/eV/f.u. The total DFT energy (no corrections) is -34.911 eV/atom.

no.,energy relative to the elements (eV per atom)
1,-0.432
2,-0.204
3,-0.527
4,0.694